Record 1
VASP calculation (PBE) on a relaxed structure of PrNd2DyBi5.

```
PrNd2DyBi5
1.0
5.602 0.000 0.000
0.000 5.602 0.000
0.000 0.000 11.987
Pr Nd Dy Bi
1 2 1 5
Cartesian
0.000 0.000 0.000
2.801 2.801 2.698
2.801 2.801 9.289
0.000 0.000 5.994
0.000 0.000 3.090
0.000 0.000 8.897
0.000 2.801 0.000
2.801 0.000 0.000
2.801 2.801 5.994
```

Summary:
- symmetry = P4/mmm, No. 123
- energy relative to the elements (meV per atom) = 11.4

---

Record 2
VASP calculation (PBE) on a relaxed structure of PrNd2DyBi4.

```
PrNd2DyBi4
1.0
7.941 0.000 0.000
0.000 4.589 0.000
-2.648 0.000 7.488
Pr Nd Dy Bi
1 2 1 4
Cartesian
0.000 0.000 0.000
-1.324 2.294 3.744
2.646 0.000 3.744
3.970 2.294 0.000
1.362 2.294 1.859
0.037 0.000 5.654
5.256 0.000 1.833
3.931 2.294 5.628
```

Summary:
- symmetry = P2/m, No. 10
- energy relative to the elements (meV per atom) = -924.3

---

Record 3
VASP calculation (PBE) on a relaxed structure of NdDyPu2Bi4.

```
NdDyPu2Bi4
1.0
7.868 0.000 0.000
0.000 4.541 0.000
-2.622 0.000 7.420
Nd Dy Pu Bi
1 1 2 4
Cartesian
0.000 0.000 0.000
-1.311 2.271 3.710
2.623 0.000 3.710
3.934 2.271 0.000
0.015 0.000 5.535
1.326 2.271 1.895
3.920 2.271 5.525
5.231 0.000 1.885
```

Summary:
- symmetry = P2/m, No. 10
- energy relative to the elements (meV per atom) = -609.2

---

Record 4
VASP calculation (PBE) on a relaxed structure of NdDy2PuBi4.

```
NdDy2PuBi4
1.0
7.837 0.000 0.000
0.000 4.531 0.000
-2.612 0.000 7.396
Nd Dy Pu Bi
1 2 1 4
Cartesian
0.000 0.000 0.000
2.613 0.000 3.698
3.919 2.265 0.000
-1.306 2.265 3.698
0.042 0.000 5.541
1.347 2.265 1.885
3.878 2.265 5.510
5.183 0.000 1.855
```

Summary:
- symmetry = P2/m, No. 10
- energy relative to the elements (meV per atom) = -741.8

---

Record 5
VASP calculation (PBE) on a relaxed structure of NdDyBiSb.

```
NdDyBiSb
1.0
2.250 1.299 7.344
-2.250 1.299 7.344
0.000 -2.598 7.344
Nd Dy Bi Sb
1 1 1 1
Cartesian
0.000 0.000 0.000
0.000 0.000 10.929
0.000 0.000 5.400
0.000 0.000 16.547
```

Summary:
- symmetry = R3m, No. 160
- ΔE_f (raw) (eV/atom) = -1.029

---

Record 6
VASP calculation (PBE) on a relaxed structure of Nd2DyScBi5.

```
Nd2DyScBi5
1.0
5.484 0.000 0.000
0.000 5.484 0.000
0.000 0.000 11.572
Nd Dy Sc Bi
2 1 1 5
Cartesian
0.000 0.000 2.542
0.000 0.000 9.029
2.742 2.742 0.000
2.742 2.742 5.786
0.000 0.000 5.786
0.000 2.742 0.000
2.742 0.000 0.000
2.742 2.742 3.020
2.742 2.742 8.552
```

Summary:
- symmetry = P4/mmm, No. 123
- energy relative to the elements (meV per atom) = -70.9

---

Record 7
VASP calculation (PBE) on a relaxed structure of NdDy2ScBi4.

```
NdDy2ScBi4
1.0
7.728 0.000 0.000
0.000 4.468 0.000
-2.581 0.000 7.295
Nd Dy Sc Bi
1 2 1 4
Cartesian
0.000 0.000 0.000
-1.291 2.234 3.647
2.573 0.000 3.647
3.864 2.234 0.000
1.366 2.234 1.833
0.074 0.000 5.517
5.072 0.000 1.778
3.781 2.234 5.462
```

Summary:
- symmetry = P2/m, No. 10
- energy relative to the elements (meV per atom) = -809.7

---

Record 8
VASP calculation (PBE) on a relaxed structure of Nd2SmDyBi5.

```
Nd2SmDyBi5
1.0
5.521 0.000 0.000
0.000 5.521 0.000
0.000 0.000 11.949
Nd Sm Dy Bi
2 1 1 5
Cartesian
0.000 0.000 2.683
0.000 0.000 9.266
2.760 2.760 0.000
2.760 2.760 5.974
0.000 0.000 5.974
0.000 2.760 0.000
2.760 0.000 0.000
2.760 2.760 3.058
2.760 2.760 8.891
```

Summary:
- symmetry = P4/mmm, No. 123
- energy relative to the elements (meV per atom) = -55.4

---

Number 1: spin magnetization 0.00 μB per atom. Number 2: spin magnetization 0.00 μB per atom. Number 3: spin magnetization 1.28 μB per atom. Number 4: spin magnetization 0.64 μB per atom. Number 5: spin magnetization 0.00 μB per atom. Number 6: spin magnetization 0.00 μB per atom. Number 7: spin magnetization 0.00 μB per atom. Number 8: spin magnetization 0.00 μB per atom.